Record 1
Crystalline Er4Sn2Bi at its relaxed geometry, computed with GGA-PBE.

Computed properties:
total magnetization	0.0000	μB per atom
DFT formation energy	-0.560	eV/atom
symmetry	P2_1/m (11)

Structure (POSCAR):
```
Er4Sn2Bi
1.0
6.1208 0.0000 0.1918
0.0000 6.5093 0.0000
-1.8672 0.0000 9.9955
Er Bi Sn
8 2 4
direct
0.8629 0.2500 0.5476
0.0343 0.2500 0.1710
0.4296 0.0043 0.7324
0.4296 0.4957 0.7324
0.9657 0.7500 0.8290
0.5704 0.9957 0.2676
0.1371 0.7500 0.4524
0.5704 0.5043 0.2676
0.0443 0.7500 0.1517
0.9557 0.2500 0.8483
0.3170 0.2500 0.4606
0.6830 0.7500 0.5394
0.5038 0.7500 0.9914
0.4962 0.2500 0.0086
```

---

Record 2
Crystalline SrTiBe2Os at its relaxed geometry, computed with GGA-PBE.

Computed properties:
total magnetization	0.0001	μB per atom
DFT formation energy	1.181	eV/atom
symmetry	P4/mmm (123)

Structure (POSCAR):
```
SrTiBe2Os
1.0
-0.5516 -4.1988 -1.2818
0.7312 -1.5989 4.9230
-4.3462 0.3401 0.7560
Os Sr Be Ti
1 1 2 1
direct
0.0000 0.0000 0.0000
0.0000 0.5000 0.0000
0.0000 0.0000 0.5000
0.5000 0.0000 0.0000
0.5000 0.5000 0.5000
```

---

- Which value of DFT formation energy does entry 1 give?
  -0.560 eV/atom

---

- Number 1 is which compound?
  Er4Sn2Bi

---

- Which of these has the highest total magnetization?
  SrTiBe2Os

---

- Which value of DFT formation energy does entry 2 give?
  1.181 eV/atom